1.
## K2Li2UN4 (PBE)

Data for a relaxed K2Li2UN4 crystal.

Symmetry: No. 12
ΔE_f (raw) (eV per atom): -0.4604

a b c (Å): 3.609 6.588 8.092
angles (deg): 127.00 90.00 105.90
Fractional positions:
K  0.833  0.667  0.423
K  0.167  0.333  0.577
Li  0.342  0.684  0.068
Li  0.658  0.316  0.932
U  0.000  0.000  0.000
N  0.817  0.634  0.922
N  0.183  0.366  0.078
N  0.548  0.096  0.208
N  0.452  0.904  0.792

---

2.
## SrHgSN2 (PBE)

Data for a relaxed SrHgSN2 crystal.

Symmetry: No. 123
Polymorph energy (0 for the lowest one) (meV/atom): 490
ΔE_f (raw) (eV per atom): 1.3348

a b c (Å): 4.908 4.908 5.943
angles (deg): 90.00 90.00 90.00
Fractional positions:
Sr  0.000  0.000  0.000
S  0.000  0.000  0.500
Hg  0.500  0.500  0.500
N  0.000  0.500  0.000
N  0.500  0.000  0.000

---

3.
## Tb6Y5Sc2 (PBE)

Data for a relaxed Tb6Y5Sc2 crystal.

Formation energy from the elements (kJ/mol of atoms): 12.2
Symmetry: No. 55

a b c (Å): 3.560 11.164 20.730
angles (deg): 90.00 90.00 90.00
Fractional positions:
Tb  0.000  0.110  0.374
Tb  0.000  0.890  0.626
Tb  0.000  0.610  0.126
Tb  0.000  0.390  0.874
Tb  0.500  0.355  0.151
Tb  0.500  0.645  0.849
Tb  0.500  0.855  0.349
Tb  0.500  0.145  0.651
Tb  0.000  0.589  0.408
Tb  0.000  0.411  0.592
Tb  0.000  0.089  0.092
Tb  0.000  0.911  0.908
Y  0.500  0.332  0.448
Y  0.500  0.668  0.552
Y  0.500  0.832  0.052
Y  0.500  0.168  0.948
Y  0.500  0.605  0.264
Y  0.500  0.395  0.736
Y  0.500  0.105  0.236
Y  0.500  0.895  0.764
Y  0.500  0.500  0.000
Y  0.500  0.000  0.500
Sc  0.000  0.354  0.297
Sc  0.000  0.646  0.703
Sc  0.000  0.854  0.203
Sc  0.000  0.146  0.797

---

4.
## TiSi3S (PBE)

Data for a relaxed TiSi3S crystal.

Symmetry: No. 221
Polymorph energy (0 for the lowest one) (meV/atom): 154
ΔE_f (raw) (eV per atom): 0.9123

a b c (Å): 4.837 4.837 4.837
angles (deg): 90.00 90.00 90.00
Fractional positions:
S  0.500  0.500  0.500
Si  0.000  0.500  0.000
Si  0.000  0.000  0.500
Si  0.500  0.000  0.000
Ti  0.000  0.000  0.000

---

5.
## Ba5Hg2Bi (PBE)

Data for a relaxed Ba5Hg2Bi crystal.

Formation energy from the elements (kJ/mol of atoms): -51.2
Symmetry: No. 140

a b c (Å): 9.384 9.384 10.271
angles (deg): 117.18 117.18 90.00
Fractional positions:
Ba  0.521  0.689  0.710
Ba  0.811  0.979  0.290
Ba  0.000  0.000  0.000
Ba  0.500  0.500  0.000
Ba  0.189  0.021  0.710
Ba  0.689  0.189  0.710
Ba  0.021  0.521  0.710
Ba  0.311  0.811  0.290
Ba  0.979  0.479  0.290
Ba  0.479  0.311  0.290
Hg  0.127  0.373  0.000
Hg  0.627  0.127  0.000
Hg  0.373  0.873  0.000
Hg  0.873  0.627  0.000
Bi  0.750  0.750  0.500
Bi  0.250  0.250  0.500

---

6.
## HfSb2Ru2 (PBE)

Data for a relaxed HfSb2Ru2 crystal.

Symmetry: No. 127
Polymorph energy (0 for the lowest one) (meV/atom): 0
ΔE_f (raw) (eV per atom): -0.0711

a b c (Å): 7.592 7.592 3.233
angles (deg): 90.00 90.00 90.00
Fractional positions:
Sb  0.163  0.663  0.500
Sb  0.663  0.837  0.500
Sb  0.837  0.337  0.500
Sb  0.337  0.163  0.500
Hf  0.000  0.000  0.000
Hf  0.500  0.500  0.000
Ru  0.365  0.865  0.000
Ru  0.865  0.635  0.000
Ru  0.635  0.135  0.000
Ru  0.135  0.365  0.000

---

7.
## BeCl2 (PBE)

Data for a relaxed BeCl2 crystal.

Symmetry: No. 72
Polymorph energy (0 for the lowest one) (meV/atom): 0
ΔE_f (raw) (eV per atom): -1.4337

a b c (Å): 6.745 6.745 6.745
angles (deg): 134.25 128.22 71.55
Fractional positions:
Be  0.000  0.750  0.750
Be  0.000  0.250  0.250
Cl  0.713  0.899  0.813
Cl  0.287  0.101  0.187
Cl  0.914  0.601  0.313
Cl  0.086  0.399  0.687

---

8.
## CaPtW (PBE)

Data for a relaxed CaPtW crystal.

Formation energy from the elements (kJ/mol of atoms): 0.1
Symmetry: No. 1

a b c (Å): 7.840 2.875 5.653
angles (deg): 98.17 74.06 96.73
Fractional positions:
Ca  0.746  0.406  0.647
Ca  0.028  0.420  0.041
Pt  0.094  0.956  0.495
Pt  0.397  0.149  0.974
W  0.367  0.559  0.573
W  0.598  0.812  0.221

---

9.
## MgTl2Os (PBE)

Data for a relaxed MgTl2Os crystal.

Formation energy from the elements (kJ/mol of atoms): 76.2
Symmetry: No. 216
Polymorph energy (0 for the lowest one) (meV/atom): 320

a b c (Å): 4.915 4.915 4.915
angles (deg): 60.00 60.00 60.00
Fractional positions:
Mg  0.500  0.500  0.500
Os  0.750  0.750  0.750
Tl  0.000  0.000  0.000
Tl  0.250  0.250  0.250

---

10.
## PrPuRe4 (PBE)

Data for a relaxed PrPuRe4 crystal.

Formation energy from the elements (kJ/mol of atoms): 7.7
Symmetry: No. 216

a b c (Å): 5.469 5.469 5.469
angles (deg): 60.00 60.00 60.00
Fractional positions:
Pr  0.250  0.250  0.250
Re  0.625  0.625  0.125
Re  0.625  0.125  0.625
Re  0.625  0.625  0.625
Re  0.125  0.625  0.625
Pu  0.000  0.000  0.000

---

11.
## Ac6ErO12 (PBE)

Data for a relaxed Ac6ErO12 crystal.

Symmetry: No. 148
ΔE_f (raw) (eV per atom): -3.0461

a b c (Å): 7.168 7.168 7.168
angles (deg): 99.15 99.15 99.15
Fractional positions:
Ac  0.138  0.291  0.604
Ac  0.709  0.396  0.862
Ac  0.396  0.862  0.709
Ac  0.862  0.709  0.396
Ac  0.291  0.604  0.138
Ac  0.604  0.138  0.291
Er  0.000  0.000  0.000
O  0.444  0.177  0.591
O  0.177  0.591  0.444
O  0.591  0.444  0.177
O  0.556  0.823  0.409
O  0.823  0.409  0.556
O  0.409  0.556  0.823
O  0.058  0.938  0.694
O  0.306  0.942  0.062
O  0.062  0.306  0.942
O  0.942  0.062  0.306
O  0.694  0.058  0.938
O  0.938  0.694  0.058

---

12.
## MgBe2Pt (PBE)

Data for a relaxed MgBe2Pt crystal.

Formation energy from the elements (kJ/mol of atoms): 2.1
Symmetry: No. 166

a b c (Å): 8.077 8.077 8.077
angles (deg): 20.39 20.39 20.39
Fractional positions:
Be  0.011  0.011  0.011
Be  0.489  0.489  0.489
Mg  0.250  0.250  0.250
Pt  0.750  0.750  0.750

---

Please write out number 7 again, unchanged.
## BeCl2 (PBE)

Data for a relaxed BeCl2 crystal.

Symmetry: No. 72
Polymorph energy (0 for the lowest one) (meV/atom): 0
ΔE_f (raw) (eV per atom): -1.4337

a b c (Å): 6.745 6.745 6.745
angles (deg): 134.25 128.22 71.55
Fractional positions:
Be  0.000  0.750  0.750
Be  0.000  0.250  0.250
Cl  0.713  0.899  0.813
Cl  0.287  0.101  0.187
Cl  0.914  0.601  0.313
Cl  0.086  0.399  0.687